The following is a GGA-PBE calculation of crystalline Hf2Ti3Bi at its relaxed geometry, from Alexandria.

Lattice parameters (Å, degrees): 6.0693 9.6645 16.6567 90.00 90.00 90.00
Closest atoms and distances in Å follow each position.
Space group Fmmm (No. 69)
Inequivalent atoms, fractional coordinates:
Hf: 0.2389 0.0000 0.0000 x8  2 Hf 2.90-3.17, 10 Ti 2.98-3.19, 2 Bi 3.23
Hf: 0.2500 0.2500 0.2500 x8  2 Hf 3.03, 4 Bi 3.16, 8 Ti 3.23-3.25
Ti: 0.0000 0.0000 0.1563 x8  2 Ti 2.72, 3 Bi 2.91-3.04, 2 Hf 2.98
Ti: 0.0000 0.2477 0.0789 x16  2 Ti 2.63-2.72, 1 Bi 2.86
Bi: 0.0000 0.0000 0.3311 x8  5 Ti 2.86-3.04, 4 Hf 3.16

Results
Volume in Å³/atom: 20.35
Formation energy from the elements in eV per atom: -0.018
Total DFT energy (no corrections) in eV/cell: -380.66